Entry 1:
VASP calculation (PBE) on Y2InRu after structural relaxation.

Calculated values
* space group: Imm2 (44)
* DFT formation energy: -1.1 eV per formula unit
* total energy: -6.52 eV/atom
* total magnetic moment: 0.00 μB/cell
* DOS(E_F): 3.58 states/eV/f.u.

Lattice parameters (Å, degrees): 6.426 6.426 4.968 67.22 67.22 30.94
Sites, in units of the cell vectors:
In 0.447 0.447 0.553
Ru 0.753 0.753 0.747
Y 0.048 0.048 0.952
Y 0.251 0.251 0.249



Entry 2:
VASP calculation (PBE) on Y2In8Ru after structural relaxation.

Calculated values
* space group: P4/mmm (123)
* DFT formation energy: -3.7 eV per formula unit
* total energy: -4.35 eV/atom
* total magnetic moment: 0.00 μB/cell
* DOS(E_F): 4.72 states/eV/f.u.

Lattice parameters (Å, degrees): 4.636 4.636 12.267 90.00 90.00 90.00
Sites, in units of the cell vectors:
Y 0.000 0.000 0.308
Y 0.000 0.000 0.692
In 0.000 0.500 0.500
In 0.500 0.000 0.500
In 0.500 0.500 0.310
In 0.500 0.500 0.690
In 0.000 0.500 0.122
In 0.500 0.000 0.122
In 0.000 0.500 0.878
In 0.500 0.000 0.878
Ru 0.000 0.000 0.000



Entry 3:
VASP calculation (PBE) on Y2InRu after structural relaxation.

Calculated values
* space group: F-43m (216)
* DFT formation energy: -0.7 eV per formula unit
* total energy: -6.41 eV/atom
* total magnetic moment: 0.00 μB/cell
* DOS(E_F): 4.89 states/eV/f.u.

Lattice parameters (Å, degrees): 4.971 4.971 4.971 60.00 60.00 60.00
Sites, in units of the cell vectors:
In 0.500 0.500 0.500
Ru 0.750 0.750 0.750
Y 0.000 0.000 0.000
Y 0.250 0.250 0.250



Entry 4:
VASP calculation (PBE) on Y2InRu after structural relaxation.

Calculated values
* space group: Amm2 (38)
* DFT formation energy: -1.2 eV per formula unit
* total energy: -6.53 eV/atom
* total magnetic moment: 0.00 μB/cell
* DOS(E_F): 3.14 states/eV/f.u.

Lattice parameters (Å, degrees): 4.601 3.793 5.866 71.20 90.00 90.00
Sites, in units of the cell vectors:
In 0.000 0.695 0.484
Ru 0.500 0.548 0.780
Y 0.000 0.980 0.915
Y 0.500 0.276 0.321



Entry 5:
VASP calculation (PBE) on Y2InRu after structural relaxation.

Calculated values
* space group: I-42d (122)
* DFT formation energy: -0.1 eV per formula unit
* total energy: -6.27 eV/atom
* total magnetic moment: 0.00 μB/cell
* DOS(E_F): 3.40 states/eV/f.u.

Lattice parameters (Å, degrees): 8.194 8.194 6.526 51.11 51.11 90.00
Sites, in units of the cell vectors:
Y 0.562 0.125 0.250
Y 0.188 0.625 0.250
Y 0.375 0.438 0.750
Y 0.875 0.812 0.750
Ru 0.500 0.500 0.000
Ru 0.250 0.750 0.500
In 0.000 0.000 0.000
In 0.750 0.250 0.500



Entry 6:
VASP calculation (PBE) on YInRu2 after structural relaxation.

Calculated values
* space group: P4/mmm (123)
* DFT formation energy: -0.6 eV per formula unit
* total energy: -7.09 eV/atom
* total magnetic moment: 0.01 μB/cell
* DOS(E_F): 5.79 states/eV/f.u.

Lattice parameters (Å, degrees): 4.611 4.611 3.429 90.00 90.00 89.96
Sites, in units of the cell vectors:
In 0.000 0.500 0.500
Ru 0.000 0.000 0.000
Ru 0.500 0.500 0.000
Y 0.500 0.000 0.500